Material: TaRhO2
Method: DFT, PBE
State: optimized geometry

## Properties
- Excess energy over the best structure of this formula in the dataset: 19.29 kcal/mol of atoms
- Final energy: -7.825 eV per atom
- Raw formation energy: -0.545 eV per atom

Structure (CIF):
```
data_TaRhO2
_chemical_formula_sum 'Ta4 Rh4 O8'
_cell_length_a 5.572
_cell_length_b 5.572
_cell_length_c 5.572
_cell_angle_alpha 90.00
_cell_angle_beta 90.00
_cell_angle_gamma 90.00
_symmetry_space_group_name_H-M 'F m -3 m'
_symmetry_Int_Tables_number 225
_symmetry_space_group_name_Hall '-F 4 2 3'
loop_
_atom_site_label
_atom_site_type_symbol
_atom_site_fract_x
_atom_site_fract_y
_atom_site_fract_z
_atom_site_occupancy
Ta1 Ta 0.000 0.000 0.000 1
Rh1 Rh 0.000 0.000 0.500 1
O1 O 0.250 0.250 0.250 1
```